4
Lattice="-2.705 3.742 3.128 -5.320 1.389 0.936 -2.149 -1.673 4.359" Properties=species:S:1:pos:R:3 comment="PBE-GGA Li2CaIn, relaxed" dos_at_fermi_per_ev_fu=0.9 vol_a3_per_atom=23.95 magmom_total_mub_per_atom=0.000 dft_energy_ev_per_atom=-2.3625 crystal_system=orthorhombic pbc="T T T"
Ca -5.070 1.711 4.212
Li -2.193 -1.623 4.357
Li -7.477 2.416 6.325
In -2.668 1.010 2.099